Record 1
DFT (GGA-PBE) results for a geometry-optimized BeCdSi2I structure.

Output
Magnetic moment (μB/atom): 0.000
Uncorrected formation energy (eV/atom): 0.675
Symmetry: P4/mmm (123)
VASP energy (eV per atom): -2.732
Crystal system: tetragonal

Geometry as POSCAR:
```
BeCdSi2I
1.0
4.217 0.000 0.000
0.000 4.217 0.000
0.000 0.000 8.271
Be Cd Si I
1 1 2 1
direct
0.000 0.000 0.000
0.500 0.500 0.500
0.000 0.500 0.000
0.500 0.000 0.000
0.000 0.000 0.500
```

---

Record 2
DFT (GGA-PBE) results for a geometry-optimized Tm5Zn2Pd2 structure.

Output
Magnetic moment (μB/atom): 0.000
Symmetry: Cmce (64)
VASP energy (eV per atom): -4.434
Crystal system: orthorhombic
Formation energy from the elements (eV/atom): -0.513

Geometry as POSCAR:
```
Tm5Zn2Pd2
1.0
7.731 -3.683 0.000
7.731 3.683 0.000
0.000 0.000 7.409
Tm Zn Pd
10 4 4
direct
0.000 0.000 0.000
0.042 0.688 0.671
0.188 0.542 0.171
0.312 0.958 0.671
0.458 0.812 0.171
0.500 0.500 0.500
0.542 0.188 0.829
0.688 0.042 0.329
0.812 0.458 0.829
0.958 0.312 0.329
0.212 0.212 0.000
0.288 0.288 0.500
0.712 0.712 0.500
0.788 0.788 0.000
0.130 0.870 0.368
0.370 0.630 0.868
0.630 0.370 0.132
0.870 0.130 0.632
```

---

Record 3
DFT (GGA-PBE) results for a geometry-optimized Nb8As2C3 structure.

Output
Magnetic moment (μB/atom): 0.000
Symmetry: C2/m (12)
VASP energy (eV per atom): -9.340
Crystal system: monoclinic
Formation energy from the elements (eV/atom): -0.299

Geometry as POSCAR:
```
Nb8As2C3
1.0
6.357 -3.180 0.000
6.357 3.180 0.000
-1.520 0.000 5.340
Nb As C
8 2 3
direct
0.093 0.093 0.406
0.150 0.646 0.102
0.354 0.850 0.898
0.405 0.405 0.612
0.595 0.595 0.388
0.646 0.150 0.102
0.850 0.354 0.898
0.907 0.907 0.594
0.247 0.247 0.196
0.753 0.753 0.804
0.259 0.741 0.500
0.500 0.500 0.000
0.741 0.259 0.500
```

---

no.,V (Å³ per cell)
1,147.1
2,421.9
3,215.9